This record from Alexandria via LeMat-Bulk describes crystalline MnOsRh at its relaxed geometry. The functional is PBE-GGA.

M_tot in μB per formula unit: 0.000
Space group: P2_1/c
ΔE to the lowest computed polymorph in meV per atom: 0.0
ΔH_f (0 K) in kJ per mole of atoms: -2

Lattice parameters (Å, degrees): 5.318 4.631 6.602 103.65 90.00 90.00
Positions (direct):
Rh 0.125 0.750 0.496
Rh 0.875 0.250 0.504
Rh 0.625 0.750 0.504
Rh 0.375 0.250 0.496
Os 0.626 0.963 0.155
Os 0.126 0.537 0.845
Os 0.374 0.037 0.845
Os 0.874 0.463 0.155
Mn 0.125 0.970 0.154
Mn 0.875 0.030 0.846
Mn 0.625 0.530 0.846
Mn 0.375 0.470 0.154

***

This record from Alexandria via LeMat-Bulk describes crystalline Mn2OsRh at its relaxed geometry. The functional is PBE-GGA.

M_tot in μB per formula unit: 1.874
Space group: I4/mmm
ΔH_f (0 K) in kJ per mole of atoms: 3

Lattice parameters (Å, degrees): 4.485 4.485 4.484 130.46 130.47 72.69
Positions (direct):
Os 0.750 0.250 0.500
Rh 0.250 0.750 0.500
Mn 0.000 0.000 0.000
Mn 0.500 0.500 0.000

***

This record from Alexandria via LeMat-Bulk describes crystalline MnOs2Rh4 at its relaxed geometry. The functional is PBE-GGA.

M_tot in μB per formula unit: 1.889
Space group: I4/mmm
ΔH_f (0 K) in kJ per mole of atoms: 121

Lattice parameters (Å, degrees): 4.601 4.601 6.801 70.23 70.23 90.00
Positions (direct):
Rh 0.500 0.000 0.000
Rh 0.801 0.801 0.398
Rh 0.199 0.199 0.602
Rh 0.000 0.500 0.000
Os 0.395 0.395 0.210
Os 0.605 0.605 0.790
Mn 0.000 0.000 0.000

***

For reference, total DFT energy (no corrections) by record: -9.2759 -9.1953 -7.4689 eV per atom.